# 1
## PrNd3Hg2 (PBE-GGA)

Data for a relaxed structure of PrNd3Hg2.

Summary:
energy above the lowest structure with this stoichiometry = 0 meV per atom
energy relative to the elements = -0.33 eV/atom
crystal system = orthorhombic

The structure in POSCAR format:
```
PrNd3Hg2
1.0
5.290 0.000 0.000
0.000 7.258 0.000
0.000 0.000 9.673
Pr Nd Hg
2 6 4
Cartesian
2.645 3.733 5.386 Pr
2.645 0.103 4.286 Pr
0.000 7.155 0.550 Nd
0.000 6.020 6.522 Nd
0.000 3.526 9.122 Nd
0.000 2.391 3.151 Nd
2.645 4.870 1.672 Nd
2.645 1.241 8.000 Nd
0.000 5.551 3.396 Hg
2.645 1.705 1.429 Hg
0.000 1.922 6.277 Hg
2.645 5.334 8.243 Hg
```



# 2
## HoTh6Sc (PBE-GGA)

Data for a relaxed structure of HoTh6Sc.

Summary:
energy relative to the elements = 0.06 eV/atom
crystal system = tetragonal

The structure in POSCAR format:
```
HoTh6Sc
1.0
5.006 0.000 0.000
0.000 5.006 0.000
0.000 0.000 10.005
Th Sc Ho
6 1 1
Cartesian
2.503 2.503 0.000 Th
2.503 0.000 7.545 Th
0.000 2.503 7.545 Th
0.000 2.503 2.460 Th
2.503 0.000 2.460 Th
2.503 2.503 5.003 Th
0.000 0.000 0.000 Sc
0.000 0.000 5.003 Ho
```



# 3
## Zr3AlNi (PBE-GGA)

Data for a relaxed structure of Zr3AlNi.

Summary:
energy above the lowest structure with this stoichiometry = 92 meV per atom
energy relative to the elements = -0.11 eV/atom
crystal system = cubic

The structure in POSCAR format:
```
Zr3AlNi
1.0
-1.280 -6.080 2.391
6.221 -0.390 2.338
-1.995 2.684 5.756
Ni Zr Al
3 9 3
Cartesian
2.113 1.147 4.047 Ni
2.470 -3.235 2.365 Ni
-1.638 -1.698 4.074 Ni
-0.277 0.416 5.502 Zr
0.730 -0.938 2.597 Zr
-0.923 -2.652 6.709 Zr
2.216 -2.849 7.888 Zr
1.473 -1.893 5.243 Zr
3.223 -4.203 4.984 Zr
0.084 -4.006 3.804 Zr
3.869 -1.135 3.777 Zr
2.862 0.219 6.682 Zr
-0.640 -3.040 1.195 Al
-0.998 1.342 2.878 Al
3.111 -0.195 1.169 Al
```



# 4
## GaPHIrPtS (PBE-GGA)

Data for a relaxed structure of GaPHIrPtS.

Summary:
energy above the lowest structure with this stoichiometry = 172 meV per atom
crystal system = triclinic

The structure in POSCAR format:
```
GaPHIrPtS
1.0
-2.782 1.213 -3.364
3.929 -0.879 -2.324
-1.901 -4.428 1.459
Ga H Ir Pt P S
1 1 1 1 1 1
Cartesian
1.020 -1.942 -2.710 Ga
-2.319 -2.549 -2.254 H
-2.911 -1.124 -2.879 Ir
-0.023 0.534 -4.822 Pt
-0.799 -0.376 -2.853 P
1.593 -4.181 -2.033 S
```



# 5
## Tm2ZnRh (PBE-GGA)

Data for a relaxed structure of Tm2ZnRh.

Summary:
energy relative to the elements = -0.65 eV/atom
crystal system = cubic

The structure in POSCAR format:
```
Tm2ZnRh
1.0
-2.480 1.257 3.993
1.421 -1.626 4.360
1.966 3.072 3.217
Tm Zn Rh
2 1 1
Cartesian
0.454 1.352 5.785 Tm
1.966 3.072 3.217 Tm
0.680 2.027 8.677 Zn
0.227 0.676 2.892 Rh
```



# 6
## K2CeSb3Pt4 (PBE-GGA)

Data for a relaxed structure of K2CeSb3Pt4.

Summary:
raw formation energy = -576 meV/atom
crystal system = tetragonal

The structure in POSCAR format:
```
K2CeSb3Pt4
1.0
4.757 0.000 0.000
0.000 4.757 0.000
0.000 0.000 11.063
Sb Pt Ce K
3 4 1 2
Cartesian
0.000 0.000 5.532 Sb
2.379 0.000 9.755 Sb
0.000 2.379 1.309 Sb
0.000 0.000 0.000 Pt
2.379 2.379 0.000 Pt
2.379 0.000 7.078 Pt
0.000 2.379 3.985 Pt
2.379 2.379 5.532 Ce
2.379 0.000 2.558 K
0.000 2.379 8.506 K
```



# 7
## PuAl3Cu (PBE-GGA)

Data for a relaxed structure of PuAl3Cu.

Summary:
energy above the lowest structure with this stoichiometry = 0 meV per atom
energy relative to the elements = -0.24 eV/atom
crystal system = tetragonal

The structure in POSCAR format:
```
PuAl3Cu
1.0
-2.416 3.322 -0.657
-2.155 -2.131 -2.850
-3.365 -1.694 3.811
Al Cu Pu
3 1 1
Cartesian
-2.346 1.088 0.960 Al
-2.191 -1.103 2.481 Al
-2.215 -1.638 -0.136 Al
-0.303 -0.153 0.343 Cu
-5.134 -0.838 1.473 Pu
```



# 8
## SmPuAlO6 (PBE-GGA)

Data for a relaxed structure of SmPuAlO6.

Summary:
raw formation energy = -2874 meV/atom
crystal system = trigonal

The structure in POSCAR format:
```
SmPuAlO6
1.0
-3.346 -1.640 -3.711
4.170 -2.944 1.268
-5.478 -4.729 7.029
O Pu Sm Al
12 2 2 2
Cartesian
-2.050 -6.001 6.780 O
-2.604 -3.312 -2.194 O
-0.326 -3.598 -0.611 O
-2.719 -7.977 4.930 O
-1.735 -3.326 1.586 O
-1.935 -1.336 -0.343 O
-4.328 -5.716 5.197 O
-2.045 -4.157 4.913 O
-0.601 -6.500 4.462 O
-4.053 -2.814 0.124 O
-2.920 -5.988 3.000 O
-2.609 -5.157 -0.327 O
-4.949 -5.622 3.220 Pu
0.295 -3.692 1.366 Pu
-2.739 -2.365 3.515 Sm
0.000 0.000 0.000 Sm
-2.444 -6.056 4.880 Al
-2.210 -3.257 -0.294 Al
```